This record from Alexandria via LeMat-Bulk describes a geometry-optimized ZnReBr2 structure. The functional is PBE.

Structure (extended XYZ):
```
4
Lattice="1.611 -2.919 0.000 1.611 2.919 0.000 0.000 0.000 9.573" Properties=species:S:1:pos:R:3 pbc="T T T"
Zn 0.000 0.000 0.000
Re 1.611 0.000 7.454
Br 0.000 0.000 5.512
Br 1.611 0.000 1.869
```

Output
Formation energy from raw total energies in eV per atom: 0.476
Total magnetic moment in μB per formula unit: 1.3
Polymorph energy (0 for the lowest one) in meV per atom: 288
Crystal system: orthorhombic